(1)
First-principles (PBE) data for crystalline AgAsPt2 at its relaxed geometry, as listed in Alexandria via LeMat-Bulk.

As for the total magnetization: 0.000 μB/atom. Its formation energy is 0.008 eV/atom. Its space group is No. 12.

Cell and atoms, written as POSCAR:
```
AgAsPt2
1.0
4.5112 -1.5023 0.0000
4.5112 1.5023 0.0000
-1.0675 0.0000 4.8951
Ag As Pt
1 1 2
Cartesian
0.0000 0.0000 0.0000
3.9775 0.0000 2.4476
1.3931 0.0000 3.6186
6.5619 0.0000 1.2765
```


(2)
First-principles (PBE) data for crystalline In2TeAs at its relaxed geometry, as listed in Alexandria via LeMat-Bulk.

The formation energy from raw total energies is -0.1287 eV/atom. As for the total magnetization: 0.000 μB/atom. Its space group is No. 156. For the energy above the most stable polymorph in this dataset, the calculation gives 37 meV/atom.

Cell and atoms, written as POSCAR:
```
In2TeAs
1.0
4.4896 0.0000 0.0000
-2.2448 3.8881 0.0000
0.0000 0.0000 8.0462
In Te As
2 1 1
Cartesian
0.0000 0.0000 0.0000
0.0000 2.5920 3.5889
0.0000 0.0000 5.0315
0.0000 2.5920 0.8259
```